Computed, not measured: a geometry-optimized TlHgRu2 structure at the GGA-PBE level of DFT.

Computed properties:
The formation energy comes out at 0.6575 eV per atom.

a = 9.1788 Å, b = 3.0226 Å, c = 5.3889 Å
α = 90.00°, β = 102.98°, γ = 90.00°
Closest atoms and distances in Å follow each position.
Space group C2/m (No. 12)
Symmetry-distinct sites (fractional):
Tl1 0.0000 0.0000 0.0000 x2  6 Ru 2.86-3.05, 2 Tl 3.02, 4 Hg 3.09
Hg1 0.0000 0.5000 0.5000 x2  6 Ru 2.77-2.80, 2 Hg 3.02, 4 Tl 3.09
Ru1 0.2463 0.5000 0.2819 x4  3 Hg 2.77-2.80, 4 Ru 2.78-3.02, 3 Tl 2.86-3.05

Computed, not measured: a geometry-optimized TlHg3Ru structure at the GGA-PBE level of DFT.

Computed properties:
The formation energy comes out at 0.3820 eV per atom.

a = 5.2832 Å, b = 5.2832 Å, c = 5.2832 Å
α = 90.00°, β = 90.00°, γ = 90.00°
Closest atoms and distances in Å follow each position.
Space group Pm-3m (No. 221)
Symmetry-distinct sites (fractional):
Tl1 0.0000 0.0000 0.0000 x1  12 Hg 3.74
Hg1 0.0000 0.5000 0.5000 x3  2 Ru 2.64
Ru1 0.5000 0.5000 0.5000 x1  6 Hg 2.64

Computed, not measured: a geometry-optimized Tl2HgRu structure at the GGA-PBE level of DFT.

Computed properties:
The formation energy comes out at 0.6932 eV per atom.

a = 7.1183 Å, b = 7.1183 Å, c = 7.1183 Å
α = 90.00°, β = 90.00°, γ = 90.00°
Closest atoms and distances in Å follow each position.
Space group F-43m (No. 216)
Symmetry-distinct sites (fractional):
Tl1 0.0000 0.0000 0.0000 x4  4 Ru 3.08, 4 Tl 3.08
Tl2 0.2500 0.2500 0.2500 x4  4 Hg 3.08, 4 Tl 3.08
Hg1 0.0000 0.0000 0.5000 x4  4 Tl 3.08, 4 Ru 3.08
Ru1 0.2500 0.2500 0.7500 x4  4 Hg 3.08, 4 Tl 3.08

Computed, not measured: a geometry-optimized TlHgRu structure at the GGA-PBE level of DFT.

Computed properties:
The formation energy comes out at 0.5921 eV per atom.

a = 3.3208 Å, b = 3.3208 Å, c = 11.2054 Å
α = 90.00°, β = 90.00°, γ = 90.00°
Closest atoms and distances in Å follow each position.
Space group I4mm (No. 107)
Symmetry-distinct sites (fractional):
Tl1 0.0000 0.0000 0.0000 x2  4 Ru 2.84
Hg1 0.0000 0.0000 0.7105 x2  4 Ru 2.87
Ru1 0.0000 0.0000 0.3579 x2  4 Tl 2.84, 4 Hg 2.87

Computed, not measured: a geometry-optimized TlHgRu2 structure at the GGA-PBE level of DFT.

Computed properties:
The formation energy comes out at 0.8169 eV per atom.

a = 6.6225 Å, b = 6.6225 Å, c = 6.6225 Å
α = 90.00°, β = 90.00°, γ = 90.00°
Closest atoms and distances in Å follow each position.
Space group F-43m (No. 216)
Symmetry-distinct sites (fractional):
Tl1 0.0000 0.0000 0.0000 x4  4 Hg 2.87, 4 Ru 2.87
Hg1 0.2500 0.2500 0.7500 x4  4 Ru 2.87, 4 Tl 2.87
Ru1 0.0000 0.0000 0.5000 x4  4 Ru 2.87, 4 Hg 2.87
Ru2 0.2500 0.2500 0.2500 x4  4 Tl 2.87, 4 Ru 2.87

Computed, not measured: a geometry-optimized TlHgRu2 structure at the GGA-PBE level of DFT.

Computed properties:
The formation energy comes out at 0.5896 eV per atom.

a = 10.5502 Å, b = 2.9775 Å, c = 4.9238 Å
α = 90.00°, β = 110.75°, γ = 90.00°
Closest atoms and distances in Å follow each position.
Space group Cm (No. 8)
Symmetry-distinct sites (fractional):
Tl1 0.0000 0.0000 0.0000 x2  7 Ru 2.85-2.97, 2 Tl 2.98, 1 Hg 3.06
Hg1 0.2150 0.0000 0.6118 x2  7 Ru 2.86-2.96, 2 Hg 2.98, 1 Tl 3.06
Ru1 0.2591 0.5000 0.1366 x2  2 Ru 2.63, 1 Tl 2.85, 4 Hg 2.87-2.95
Ru2 0.4576 0.0000 0.4789 x2  2 Ru 2.63, 1 Hg 2.86, 2 Tl 2.86

Computed, not measured: a geometry-optimized TlHgRu2 structure at the GGA-PBE level of DFT.

Computed properties:
The formation energy comes out at 0.6261 eV per atom.

a = 4.3864 Å, b = 3.1079 Å, c = 10.9574 Å
α = 90.00°, β = 90.00°, γ = 90.00°
Closest atoms and distances in Å follow each position.
Space group Amm2 (No. 38)
Symmetry-distinct sites (fractional):
Tl1 0.0000 0.0000 0.0000 x2  7 Ru 2.94-3.01, 2 Tl 3.11, 4 Hg 3.17
Hg1 0.5000 0.0000 0.6540 x2  7 Ru 2.89-3.05, 2 Hg 3.11, 4 Tl 3.17
Ru1 0.0000 0.0000 0.2726 x2  2 Ru 2.47
Ru2 0.5000 0.0000 0.3760 x2  2 Ru 2.47

Computed, not measured: a geometry-optimized TlHgRu structure at the GGA-PBE level of DFT.

Computed properties:
The formation energy comes out at 0.6240 eV per atom.

a = 3.1686 Å, b = 3.1686 Å, c = 7.1489 Å
α = 90.00°, β = 90.00°, γ = 120.00°
Closest atoms and distances in Å follow each position.
Space group P3m1 (No. 156)
Symmetry-distinct sites (fractional):
Tl1 0.0000 0.0000 0.0000 x1  3 Ru 2.85, 6 Tl 3.17
Hg1 0.3333 0.6667 0.3884 x1  3 Ru 2.85, 6 Hg 3.17
Ru1 0.6667 0.3333 0.6947 x1  3 Tl 2.85, 3 Hg 2.85, 6 Ru 3.17

no.,magnetic moment (μB per formula unit)
1,0.21
2,0.22
3,0.82
4,0.00
5,2.43
6,0.79
7,0.00
8,0.50